# Ce5SnIr2

An optimized crystal structure of Ce5SnIr2 (PBE-GGA, Alexandria).

Cell and atoms, written as CIF:
```
data_Ce5SnIr2
_symmetry_space_group_name_H-M 'I 4/m c m'
_symmetry_Int_Tables_number 140
_symmetry_space_group_name_Hall '-I 4 2c'
_cell_length_a 7.9035
_cell_length_b 7.9035
_cell_length_c 13.4482
_cell_angle_alpha 90.00
_cell_angle_beta 90.00
_cell_angle_gamma 90.00
loop_
_atom_site_label
_atom_site_type_symbol
_atom_site_fract_x
_atom_site_fract_y
_atom_site_fract_z
Ce1 Ce 0.0000 0.0000 0.0000
Ce2 Ce 0.1598 0.3402 0.1371
Sn1 Sn 0.0000 0.0000 0.2500
Ir1 Ir 0.1411 0.3589 0.5000
```

Output
E_tot	-7.025	eV/atom
ΔH_f (0 K)	-600.4	meV per atom
volume	26.252	Å³ per atom



# Ac10Tl3Au3

An optimized crystal structure of Ac10Tl3Au3 (PBE-GGA, Alexandria).

Cell and atoms, written as CIF:
```
data_Ac10Tl3Au3
_symmetry_space_group_name_H-M 'P -6 2 m'
_symmetry_Int_Tables_number 189
_symmetry_space_group_name_Hall 'P -6 -2'
_cell_length_a 9.4939
_cell_length_b 9.4939
_cell_length_c 7.5285
_cell_angle_alpha 90.00
_cell_angle_beta 90.00
_cell_angle_gamma 120.00
loop_
_atom_site_label
_atom_site_type_symbol
_atom_site_fract_x
_atom_site_fract_y
_atom_site_fract_z
Ac1 Ac 0.0000 0.2471 0.0000
Ac2 Ac 0.0000 0.7628 0.5000
Ac3 Ac 0.3333 0.6667 0.2444
Tl1 Tl 0.0000 0.4093 0.5000
Au1 Au 0.0000 0.6024 0.0000
```

Output
E_tot	-4.031	eV/atom
ΔH_f (0 K)	-404.8	meV per atom
volume	36.729	Å³ per atom



# Ac2ThSi6

An optimized crystal structure of Ac2ThSi6 (PBE-GGA, Alexandria).

Cell and atoms, written as CIF:
```
data_Ac2ThSi6
_symmetry_space_group_name_H-M 'P 6/m m m'
_symmetry_Int_Tables_number 191
_symmetry_space_group_name_Hall '-P 6 2'
_cell_length_a 7.2683
_cell_length_b 7.2683
_cell_length_c 4.4211
_cell_angle_alpha 90.00
_cell_angle_beta 90.00
_cell_angle_gamma 120.00
loop_
_atom_site_label
_atom_site_type_symbol
_atom_site_fract_x
_atom_site_fract_y
_atom_site_fract_z
Ac1 Ac 0.3333 0.6667 0.0000
Th1 Th 0.0000 0.0000 0.0000
Si1 Si 0.0000 0.3273 0.5000
```

Output
uncorrected formation energy	-469.8	kJ/mol of formula units
E_tot	-5.894	eV/atom
volume	22.474	Å³ per atom



# Ac4PuPb5

An optimized crystal structure of Ac4PuPb5 (PBE-GGA, Alexandria).

Cell and atoms, written as CIF:
```
data_Ac4PuPb5
_symmetry_space_group_name_H-M 'P 4/m m m'
_symmetry_Int_Tables_number 123
_symmetry_space_group_name_Hall '-P 4 2'
_cell_length_a 3.8033
_cell_length_b 3.8033
_cell_length_c 23.4742
_cell_angle_alpha 90.00
_cell_angle_beta 90.00
_cell_angle_gamma 90.00
loop_
_atom_site_label
_atom_site_type_symbol
_atom_site_fract_x
_atom_site_fract_y
_atom_site_fract_z
Ac1 Ac 0.0000 0.0000 0.1024
Ac2 Ac 0.0000 0.0000 0.3069
Pu1 Pu 0.0000 0.0000 0.5000
Pb1 Pb 0.5000 0.5000 0.0000
Pb2 Pb 0.5000 0.5000 0.2043
Pb3 Pb 0.5000 0.5000 0.4088
```

Output
E_tot	-5.334	eV/atom
ΔH_f (0 K)	-403.1	meV per atom
volume	33.956	Å³ per atom



# ZrTcNO2

An optimized crystal structure of ZrTcNO2 (PBE-GGA, Alexandria).

Cell and atoms, written as CIF:
```
data_ZrTcNO2
_symmetry_space_group_name_H-M 'P 4/m m m'
_symmetry_Int_Tables_number 123
_symmetry_space_group_name_Hall '-P 4 2'
_cell_length_a 3.9011
_cell_length_b 3.9011
_cell_length_c 3.8744
_cell_angle_alpha 90.00
_cell_angle_beta 90.00
_cell_angle_gamma 90.00
loop_
_atom_site_label
_atom_site_type_symbol
_atom_site_fract_x
_atom_site_fract_y
_atom_site_fract_z
Zr1 Zr 0.0000 0.0000 0.0000
Tc1 Tc 0.5000 0.5000 0.5000
N1 N 0.5000 0.5000 0.0000
O1 O 0.0000 0.5000 0.5000
```

Output
uncorrected formation energy	-398.0	kJ/mol of formula units
E_tot	-8.256	eV/atom
volume	11.792	Å³ per atom



# BaCu2Au

An optimized crystal structure of BaCu2Au (PBE-GGA, Alexandria).

Cell and atoms, written as CIF:
```
data_BaCu2Au
_symmetry_space_group_name_H-M 'P 4/m m m'
_symmetry_Int_Tables_number 123
_symmetry_space_group_name_Hall '-P 4 2'
_cell_length_a 3.5424
_cell_length_b 3.5424
_cell_length_c 6.8959
_cell_angle_alpha 90.00
_cell_angle_beta 90.00
_cell_angle_gamma 90.00
loop_
_atom_site_label
_atom_site_type_symbol
_atom_site_fract_x
_atom_site_fract_y
_atom_site_fract_z
Ba1 Ba 0.0000 0.0000 0.0000
Cu1 Cu 0.5000 0.5000 0.3268
Au1 Au 0.0000 0.0000 0.5000
```

Output
relative energy among the computed polymorphs	307	meV per atom
E_tot	-3.291	eV/atom
ΔH_f (0 K)	56.9	meV per atom
volume	21.634	Å³ per atom



# ZnCdTeN2

An optimized crystal structure of ZnCdTeN2 (PBE-GGA, Alexandria).

Cell and atoms, written as CIF:
```
data_ZnCdTeN2
_symmetry_space_group_name_H-M 'P 4/m m m'
_symmetry_Int_Tables_number 123
_symmetry_space_group_name_Hall '-P 4 2'
_cell_length_a 4.2641
_cell_length_b 4.2641
_cell_length_c 6.4551
_cell_angle_alpha 90.00
_cell_angle_beta 90.00
_cell_angle_gamma 90.00
loop_
_atom_site_label
_atom_site_type_symbol
_atom_site_fract_x
_atom_site_fract_y
_atom_site_fract_z
Zn1 Zn 0.0000 0.0000 0.0000
Cd1 Cd 0.5000 0.5000 0.5000
Te1 Te 0.5000 0.5000 0.0000
N1 N 0.0000 0.5000 0.5000
```

Output
relative energy among the computed polymorphs	266	meV per atom
uncorrected formation energy	764.5	kJ/mol of formula units
E_tot	-2.812	eV/atom
volume	23.474	Å³ per atom



# LaPmPuMg

An optimized crystal structure of LaPmPuMg (PBE-GGA, Alexandria).

Cell and atoms, written as CIF:
```
data_LaPmPuMg
_symmetry_space_group_name_H-M 'F -4 3 m'
_symmetry_Int_Tables_number 216
_symmetry_space_group_name_Hall 'F -4 2 3'
_cell_length_a 7.9060
_cell_length_b 7.9060
_cell_length_c 7.9060
_cell_angle_alpha 90.00
_cell_angle_beta 90.00
_cell_angle_gamma 90.00
loop_
_atom_site_label
_atom_site_type_symbol
_atom_site_fract_x
_atom_site_fract_y
_atom_site_fract_z
La1 La 0.0000 0.0000 0.0000
Pm1 Pm 0.0000 0.0000 0.5000
Pu1 Pu 0.2500 0.2500 0.2500
Mg1 Mg 0.2500 0.2500 0.7500
```

Output
E_tot	-6.265	eV/atom
ΔH_f (0 K)	136.1	meV per atom
volume	30.885	Å³ per atom



# Tm6Te2C3

An optimized crystal structure of Tm6Te2C3 (PBE-GGA, Alexandria).

Cell and atoms, written as CIF:
```
data_Tm6Te2C3
_symmetry_space_group_name_H-M 'C 1 2/m 1'
_symmetry_Int_Tables_number 12
_cell_length_a 6.3600
_cell_length_b 11.0289
_cell_length_c 7.3414
_cell_angle_alpha 90.00
_cell_angle_beta 106.93
_cell_angle_gamma 90.00
loop_
_symmetry_equiv_pos_as_xyz
'x,y,z'
'-x,-y,-z'
'-x,y,-z'
'x,-y,z'
'x+1/2,y+1/2,z'
'-x+1/2,-y+1/2,-z'
'-x+1/2,y+1/2,-z'
'x+1/2,-y+1/2,z'
loop_
_atom_site_label
_atom_site_type_symbol
_atom_site_fract_x
_atom_site_fract_y
_atom_site_fract_z
Tm1 Tm 0.2263 0.1680 0.1821
Tm2 Tm 0.2291 0.5000 0.1778
Te1 Te 0.0000 0.1656 0.5000
C1 C 0.0000 0.0000 0.0000
C2 C 0.0000 0.3301 0.0000
```

Output
uncorrected formation energy	-796.1	kJ/mol of formula units
E_tot	-6.276	eV/atom
volume	22.393	Å³ per atom



# SiTc2Mo

An optimized crystal structure of SiTc2Mo (PBE-GGA, Alexandria).

Cell and atoms, written as CIF:
```
data_SiTc2Mo
_symmetry_space_group_name_H-M 'I m m m'
_symmetry_Int_Tables_number 71
_symmetry_space_group_name_Hall '-I 2 2'
_cell_length_a 2.6935
_cell_length_b 4.1869
_cell_length_c 12.0031
_cell_angle_alpha 90.00
_cell_angle_beta 90.00
_cell_angle_gamma 90.00
loop_
_atom_site_label
_atom_site_type_symbol
_atom_site_fract_x
_atom_site_fract_y
_atom_site_fract_z
Si1 Si 0.0000 0.0000 0.0000
Tc1 Tc 0.0000 0.0000 0.2911
Mo1 Mo 0.0000 0.0000 0.5000
```

Output
uncorrected formation energy	215.4	kJ/mol of formula units
E_tot	-8.688	eV/atom
volume	16.920	Å³ per atom



# Y2CuMo

An optimized crystal structure of Y2CuMo (PBE-GGA, Alexandria).

Cell and atoms, written as CIF:
```
data_Y2CuMo
_symmetry_space_group_name_H-M 'P 1 2/m 1'
_symmetry_Int_Tables_number 10
_cell_length_a 3.4752
_cell_length_b 3.4813
_cell_length_c 7.1390
_cell_angle_alpha 90.00
_cell_angle_beta 90.08
_cell_angle_gamma 90.00
loop_
_symmetry_equiv_pos_as_xyz
'x,y,z'
'-x,-y,-z'
'-x,y,-z'
'x,-y,z'
loop_
_atom_site_label
_atom_site_type_symbol
_atom_site_fract_x
_atom_site_fract_y
_atom_site_fract_z
Y1 Y 0.0006 0.0000 0.2461
Cu1 Cu 0.5000 0.5000 0.5000
Mo1 Mo 0.5000 0.5000 0.0000
```

Output
relative energy among the computed polymorphs	6	meV per atom
E_tot	-6.812	eV/atom
ΔH_f (0 K)	152.3	meV per atom
volume	21.592	Å³ per atom



# DyEr7Tm12

An optimized crystal structure of DyEr7Tm12 (PBE-GGA, Alexandria).

Cell and atoms, written as CIF:
```
data_DyEr7Tm12
_symmetry_space_group_name_H-M 'R -3'
_symmetry_Int_Tables_number 148
_symmetry_space_group_name_Hall '-R 3'
_cell_length_a 12.6071
_cell_length_b 12.6071
_cell_length_c 13.4048
_cell_angle_alpha 90.00
_cell_angle_beta 90.00
_cell_angle_gamma 120.00
loop_
_atom_site_label
_atom_site_type_symbol
_atom_site_fract_x
_atom_site_fract_y
_atom_site_fract_z
Dy1 Dy 0.0000 0.0000 0.0000
Er1 Er 0.0000 0.0000 0.5000
Er2 Er 0.0687 0.8683 0.8479
Tm1 Tm 0.0009 0.4368 0.2497
Tm2 Tm 0.0686 0.2002 0.3482
```

Output
relative energy among the computed polymorphs	0	meV per atom
E_tot	-4.192	eV/atom
ΔH_f (0 K)	318.3	meV per atom
volume	30.752	Å³ per atom



# LaPdSCl2

An optimized crystal structure of LaPdSCl2 (PBE-GGA, Alexandria).

Cell and atoms, written as CIF:
```
data_LaPdSCl2
_symmetry_space_group_name_H-M 'P 4/m m m'
_symmetry_Int_Tables_number 123
_symmetry_space_group_name_Hall '-P 4 2'
_cell_length_a 4.7705
_cell_length_b 4.7705
_cell_length_c 5.0185
_cell_angle_alpha 90.00
_cell_angle_beta 90.00
_cell_angle_gamma 90.00
loop_
_atom_site_label
_atom_site_type_symbol
_atom_site_fract_x
_atom_site_fract_y
_atom_site_fract_z
La1 La 0.0000 0.0000 0.0000
Pd1 Pd 0.5000 0.5000 0.5000
S1 S 0.5000 0.5000 0.0000
Cl1 Cl 0.0000 0.5000 0.5000
```

Output
relative energy among the computed polymorphs	0	meV per atom
uncorrected formation energy	-494.9	kJ/mol of formula units
E_tot	-4.614	eV/atom
volume	22.842	Å³ per atom



# ErZr2MoC4

An optimized crystal structure of ErZr2MoC4 (PBE-GGA, Alexandria).

Cell and atoms, written as CIF:
```
data_ErZr2MoC4
_symmetry_space_group_name_H-M 'C m c m'
_symmetry_Int_Tables_number 63
_symmetry_space_group_name_Hall '-C 2c 2'
_cell_length_a 3.3370
_cell_length_b 11.6252
_cell_length_c 11.7420
_cell_angle_alpha 90.00
_cell_angle_beta 90.00
_cell_angle_gamma 90.00
loop_
_atom_site_label
_atom_site_type_symbol
_atom_site_fract_x
_atom_site_fract_y
_atom_site_fract_z
Er1 Er 0.0000 0.1156 0.2500
Zr1 Zr 0.0000 0.3688 0.0353
Mo1 Mo 0.0000 0.1507 0.7500
C1 C 0.0000 0.0000 0.0000
C2 C 0.0000 0.2581 0.6206
C3 C 0.0000 0.4512 0.2500
```

Output
E_tot	-8.976	eV/atom
ΔH_f (0 K)	-302.6	meV per atom
volume	14.235	Å³ per atom



# LaLuGePt

An optimized crystal structure of LaLuGePt (PBE-GGA, Alexandria).

Cell and atoms, written as CIF:
```
data_LaLuGePt
_symmetry_space_group_name_H-M 'F -4 3 m'
_symmetry_Int_Tables_number 216
_symmetry_space_group_name_Hall 'F -4 2 3'
_cell_length_a 7.2089
_cell_length_b 7.2089
_cell_length_c 7.2089
_cell_angle_alpha 90.00
_cell_angle_beta 90.00
_cell_angle_gamma 90.00
loop_
_atom_site_label
_atom_site_type_symbol
_atom_site_fract_x
_atom_site_fract_y
_atom_site_fract_z
La1 La 0.0000 0.0000 0.0000
Lu1 Lu 0.0000 0.0000 0.5000
Ge1 Ge 0.2500 0.2500 0.7500
Pt1 Pt 0.2500 0.2500 0.2500
```

Output
E_tot	-5.911	eV/atom
ΔH_f (0 K)	-884.4	meV per atom
volume	23.414	Å³ per atom



# NdEr4Tm4

An optimized crystal structure of NdEr4Tm4 (PBE-GGA, Alexandria).

Cell and atoms, written as CIF:
```
data_NdEr4Tm4
_symmetry_space_group_name_H-M 'I 4/m m m'
_symmetry_Int_Tables_number 139
_symmetry_space_group_name_Hall '-I 4 2'
_cell_length_a 10.5616
_cell_length_b 10.5616
_cell_length_c 4.9647
_cell_angle_alpha 90.00
_cell_angle_beta 90.00
_cell_angle_gamma 90.00
loop_
_atom_site_label
_atom_site_type_symbol
_atom_site_fract_x
_atom_site_fract_y
_atom_site_fract_z
Nd1 Nd 0.0000 0.0000 0.0000
Er1 Er 0.1678 0.1678 0.5000
Tm1 Tm 0.0000 0.3348 0.0000
```

Output
relative energy among the computed polymorphs	0	meV per atom
E_tot	-4.519	eV/atom
ΔH_f (0 K)	26.1	meV per atom
volume	30.767	Å³ per atom